Entry from the Open Quantum Materials Database: a relaxed Cu5Ag4 crystal (PBE).

Output
* mass density: 9.4 g/cm³
* ΔE to the lowest computed polymorph: 66.9 meV/atom

a = 7.1807 Å, b = 7.1807 Å, c = 8.0994 Å
α = 123.22°, β = 123.22°, γ = 22.43°
Fractional positions:
Cu 0.0000 0.0000 0.0000
Cu 0.2077 0.2077 0.1161
Cu 0.5454 0.5454 0.7880
Cu 0.6557 0.6557 0.3139
Cu 0.8703 0.8703 0.4255
Ag 0.0963 0.0963 0.5517
Ag 0.3273 0.3273 0.6570
Ag 0.4354 0.4354 0.2139
Ag 0.7623 0.7623 0.8915